Entry 1:
NbRe2H2 (PBE, optimized geometry); symmetry = P4/mbm, No. 127; ΔE to the lowest computed polymorph = 60.8 kJ/mol of atoms
1.0
6.8919 0.0000 0.0000
0.0000 6.8919 0.0000
0.0000 0.0000 2.5991
Nb Re H
2 4 4
Cartesian
0.0000 0.0000 0.0000
3.4459 3.4459 0.0000
0.9004 2.5455 0.0000
2.5455 5.9915 0.0000
4.3463 0.9004 0.0000
5.9915 4.3463 0.0000
0.6807 4.1266 1.2995
2.7653 0.6807 1.2995
4.1266 6.2112 1.2995
6.2112 2.7653 1.2995

=====

Entry 2:
PaH6PtRh (PBE, optimized geometry); uncorrected energy = -4.978 eV per atom; symmetry = P-6m2, No. 187
1.0
4.7170 0.0000 0.0000
-2.3585 4.0850 0.0000
0.0000 0.0000 4.1589
Pa H Pt Rh
1 6 1 1
Cartesian
0.0000 0.0000 0.0000
-1.1534 2.0574 0.9027
-1.1534 2.0574 3.2562
1.1534 2.0574 0.9027
1.1534 2.0574 3.2562
0.0000 4.0552 0.9027
0.0000 4.0552 3.2562
2.3585 1.3617 2.0794
0.0000 2.7234 2.0794

=====

Entry 3:
NdLuRu4 (PBE, optimized geometry); uncorrected energy = -7.967 eV per atom; symmetry = F-43m, No. 216
1.0
0.0000 3.7872 3.7872
3.7872 0.0000 3.7872
3.7872 3.7872 0.0000
Nd Lu Ru
1 1 4
Cartesian
0.0000 0.0000 0.0000
5.6808 5.6808 5.6808
2.8433 2.8433 2.8433
4.7311 4.7311 2.8433
4.7311 2.8433 4.7311
2.8433 4.7311 4.7311

=====

Entry 4:
BaPS2F (PBE, optimized geometry); uncorrected formation energy = -0.45 eV per atom; symmetry = P4/mmm, No. 123; ΔE to the lowest computed polymorph = 0.0 kJ/mol of atoms
1.0
5.3557 0.0000 0.0000
0.0000 5.3557 0.0000
0.0000 0.0000 3.8333
Ba P S F
1 1 2 1
Cartesian
0.0000 0.0000 0.0000
2.6779 2.6779 0.0000
0.0000 2.6779 1.9166
2.6779 0.0000 1.9166
2.6779 2.6779 1.9166